PBE with a Hubbard U Ba2MnPbO4, optimized geometry; density = 6.7 g/cm³; uncorrected energy = -97.54 eV for the cell shown
1.0
-4.7630 1.5279 -5.3265
-0.0448 -7.0227 -2.0179
-1.8691 1.7116 7.0888
O Ba Mn Pb
8 4 2 2
Direct
0.2755 0.7211 0.5033
0.2122 0.2197 0.9785
0.7197 0.7122 0.4785
0.7878 0.7803 0.0215
0.7245 0.2789 0.4967
0.7789 0.2245 0.9967
0.2211 0.7755 0.0033
0.2803 0.2878 0.5215
0.0000 0.0000 0.5000
0.5000 0.0000 0.5000
0.5000 0.5000 0.0000
0.5000 0.0000 0.0000
0.5000 0.5000 0.5000
0.0000 0.0000 0.0000
0.0000 0.5000 0.5000
0.0000 0.5000 0.0000